# Be6C7 (PBE-GGA, relaxed)
data_Be6C7
_cell_length_a 4.0821
_cell_length_b 4.0821
_cell_length_c 22.4733
_cell_angle_alpha 90.00
_cell_angle_beta 90.00
_cell_angle_gamma 120.00
_space_group_name_H-M_alt 'R -3 m'
_space_group_IT_number 166
_space_group_name_Hall '-R 3 2"'
loop_
_atom_site_label
_atom_site_type_symbol
_atom_site_fract_x
_atom_site_fract_y
_atom_site_fract_z
Be1 Be 0.0000 0.0000 0.0879
Be2 Be 0.0000 0.0000 0.1938
Be3 Be 0.0000 0.0000 0.3596
C1 C 0.0000 0.0000 0.5000
C2 C 0.0900 0.5450 0.9374
# * ΔH_f (0 K): 1.271 eV/atom
# * crystal system: trigonal